# 1
4
Lattice="3.109 0.003 0.000 -0.705 3.028 0.000 0.000 0.000 8.400" Properties=species:S:1:pos:R:3 comment="LiZn2Te (GGA-PBEsol, relaxed)" sg="Cmmm, No. 65" pbc="T T T"
Te 1.202 1.516 0.000
Li 1.202 1.516 4.200
Zn 0.000 0.000 6.075
Zn 0.000 0.000 2.326

---

# 2
4
Lattice="-0.304 -1.162 2.868 -3.625 -2.283 -1.309 6.500 -4.346 -2.758" Properties=species:S:1:pos:R:3 comment="KTl2Os (GGA-PBEsol, relaxed)" e_above_lowest_polymorph_mev_per_atom=0 sg="Imm2, No. 44" pbc="T T T"
Tl 0.312 -4.767 -0.213
Os 2.408 -3.221 -1.050
K 0.479 -1.425 1.159
Tl 3.606 -5.608 -0.205

---

| no. | final energy (eV/cell) |
| --- | --- |
| 1 | -8.4 |
| 2 | -16.4 |